Material: ScCr2OsO
Method: DFT, PBE with a Hubbard U
State: optimized geometry

Unit cell a=4.0770 b=4.6049 c=4.0770 alpha=90.00 beta=90.00 gamma=90.00
Closest atoms and distances in Å follow each position.
Atoms (fractional coordinates):
Os 0.0000 0.5000 0.0000  2 O 2.30
Cr 0.0000 0.0000 0.5000  2 O 2.04
Cr 0.5000 0.0000 0.0000  2 O 2.04
O 0.0000 0.0000 0.0000  4 Cr 2.04
Sc 0.5000 0.5000 0.5000  4 Os 2.88, 8 Cr 3.08

Computed properties:
* symmetry: No. 123
* energy: -7.537 eV/atom
* total magnetization: 7.4 μB/cell